VASP calculation (PBE) on crystalline Be3AgAu at its relaxed geometry.

Lattice parameters (Å, degrees): 4.3492 4.3492 4.3492 90.00 90.00 90.00
Space group Pm-3m (No. 221)
Unique sites:
Be: 0.0000 0.0000 0.5000 x3
Ag: 0.5000 0.5000 0.5000 x1
Au: 0.0000 0.0000 0.0000 x1

total moment = 0.000 μB per formula unit
excess energy over the best structure of this formula in the dataset = 0.000 eV/atom
total DFT energy (no corrections) = -2.896 eV/atom
formation enthalpy at 0 K = 0.566 eV/atom

---

VASP calculation (PBE) on crystalline ErAl2Cr at its relaxed geometry.

Lattice parameters (Å, degrees): 3.1432 3.1432 27.2809 90.00 90.00 120.00
Space group R-3m (No. 166, hexagonal axes)
Unique sites:
Er: 0.0000 0.0000 0.0000 x3
Al: 0.0000 0.0000 0.2388 x6
Cr: 0.0000 0.0000 0.5000 x3

total moment = 2.669 μB per formula unit
total DFT energy (no corrections) = -5.237 eV/atom
formation enthalpy at 0 K = 0.181 eV/atom

---

VASP calculation (PBE) on crystalline TaZn2Se at its relaxed geometry.

Lattice parameters (Å, degrees): 3.8075 3.8075 4.5773 90.00 90.00 90.00
Space group P4/mmm (No. 123)
Unique sites:
Ta: 0.0000 0.0000 0.0000 x1
Zn: 0.0000 0.5000 0.5000 x2
Se: 0.5000 0.5000 0.0000 x1

raw formation energy = 250 meV per atom
total moment = 0.000 μB per formula unit
total DFT energy (no corrections) = -4.222 eV/atom

---

VASP calculation (PBE) on crystalline Cu2NiIr at its relaxed geometry.

Lattice parameters (Å, degrees): 4.1844 4.1844 2.8572 90.00 90.00 90.00
Space group P4/mmm (No. 123)
Unique sites:
Cu: 0.0000 0.5000 0.0000 x2
Ni: 0.0000 0.0000 0.5000 x1
Ir: 0.5000 0.5000 0.5000 x1

total moment = 0.931 μB per formula unit
excess energy over the best structure of this formula in the dataset = 0.136 eV/atom
total DFT energy (no corrections) = -5.520 eV/atom
formation enthalpy at 0 K = 0.189 eV/atom

---

VASP calculation (PBE) on crystalline PrThP2 at its relaxed geometry.

Lattice parameters (Å, degrees): 4.1152 4.1152 21.3857 90.00 90.00 120.00
Space group R3m (No. 160, hexagonal axes)
Unique sites:
Pr: 0.0000 0.0000 0.0000 x3
Th: 0.0000 0.0000 0.8263 x3
P: 0.0000 0.0000 0.2420 x3
P: 0.0000 0.0000 0.4153 x3

total moment = 0.000 μB per formula unit
excess energy over the best structure of this formula in the dataset = 0.156 eV/atom
total DFT energy (no corrections) = -7.155 eV/atom
formation enthalpy at 0 K = -1.400 eV/atom